# BaReTc2 | Alexandria via LeMat-Bulk | PBE-GGA | relaxed
# Energy relative to the lowest polymorph listed for this composition ... 427 meV per atom
# Energy of formation ... 1.096 eV per atom
data_BaReTc2
_cell_length_a 3.090
_cell_length_b 5.609
_cell_length_c 9.721
_cell_angle_alpha 90.00
_cell_angle_beta 90.00
_cell_angle_gamma 90.00
_space_group_name_H-M_alt 'I m m m'
_space_group_IT_number 71
_space_group_name_Hall '-I 2 2'
loop_
_atom_site_label
_atom_site_fract_x
_atom_site_fract_y
_atom_site_fract_z
Ba1 0.000 0.000 0.000
Re1 0.000 0.000 0.500
Tc1 0.000 0.500 0.203